Compound: NaSb2MoO6
Source: Alexandria via LeMat-Bulk
Functional: GGA+U
Structure: optimized geometry

Lattice parameters (Å, degrees): 5.5815 6.1915 5.8272 94.97 115.25 115.88
Last column: nearest neighbours and their distance in Å.
Element x y z (fractional)
Na: 0.0431 0.4994 0.5282  4 O 2.29-2.44
Sb: 0.6511 0.8180 0.3649  3 O 2.03-2.08
Sb: 0.5495 0.2195 0.8496  3 O 2.00-2.20
Mo: 0.9851 0.9913 0.9767  4 O 1.89-2.02
O: 0.5048 0.8819 0.7423  1 Sb 2.00, 1 Mo 2.15
O: 0.4465 0.1411 0.1408  1 Mo 2.02, 1 Sb 2.04
O: 0.9230 0.7975 0.2217  1 Mo 1.99, 1 Sb 2.06
O: 0.0089 0.2851 0.1332  1 Mo 1.89
O: 0.8299 0.6955 0.6823  1 Mo 1.96, 1 Sb 2.08
O: 0.0236 0.1483 0.6629  1 Sb 2.03, 1 Mo 2.19

Its space group is P1, No. 1. For the calculated total energy, the calculation gives -6.10 eV per atom.